Crystalline WSeBr3 at its relaxed geometry. Source: Alexandria via LeMat-Bulk, functional GGA-PBE.

Values from the calculation:
total magnetic moment = 0.000 μB per atom
raw formation energy = -27.81 kJ per mole of atoms
N(E_F) = 0.287 states/eV/atom
offset from the most stable computed form = 0.0 meV/atom

a b c (Å): 7.871 11.722 6.860
angles (deg): 90.00 90.00 90.00
Space group Cmcm (No. 63)
Inequivalent atoms, fractional coordinates:
W 0.000 0.013 0.250 (multiplicity 4)
Se 0.000 0.205 0.250 (multiplicity 4)
Br 0.000 0.212 0.750 (multiplicity 4)
Br 0.248 0.000 0.000 (multiplicity 8)

=====

Crystalline WSeBr2 at its relaxed geometry. Source: Alexandria via LeMat-Bulk, functional GGA-PBE.

Values from the calculation:
total magnetic moment = 0.000 μB per atom
raw formation energy = -11.92 kJ per mole of atoms
N(E_F) = 0.256 states/eV/atom
offset from the most stable computed form = 76.6 meV/atom

a b c (Å): 9.316 3.243 7.763
angles (deg): 90.00 108.93 90.00
Space group Cm (No. 8)
Inequivalent atoms, fractional coordinates:
W 0.000 0.000 0.000 (multiplicity 2)
Se 0.204 0.500 0.000 (multiplicity 2)
Br 0.019 0.500 0.277 (multiplicity 2)
Br 0.370 0.000 0.723 (multiplicity 2)

=====

Crystalline WSeBr at its relaxed geometry. Source: Alexandria via LeMat-Bulk, functional GGA-PBE.

Values from the calculation:
total magnetic moment = 0.000 μB per atom
raw formation energy = 36.00 kJ per mole of atoms
N(E_F) = 0.619 states/eV/atom
offset from the most stable computed form = 757.1 meV/atom

a b c (Å): 3.175 6.092 16.022
angles (deg): 90.00 90.00 90.00
Space group Fmm2 (No. 42)
Inequivalent atoms, fractional coordinates:
W 0.000 0.000 0.000 (multiplicity 4)
Se 0.000 0.000 0.384 (multiplicity 4)
Br 0.000 0.000 0.631 (multiplicity 4)

=====

Question: Among the records above, which one has the lowest N(E_F)?
Answer: WSeBr2

=====

Question: offset from the most stable computed form of number 1 (WSeBr3)?
Answer: 0.0 meV/atom